This record from Alexandria describes an optimized crystal structure of Hf2Zr3In2. The functional is PBE-GGA.

Results
DFT formation energy = 72.1 meV per atom
size of the total moment = 0.0 μB/f.u.
crystal system = monoclinic

Unit cell a=3.0528 b=5.0856 c=10.4347 alpha=104.11 beta=90.00 gamma=90.00
Element x y z (fractional)
Hf (0.0000, 0.5719, 0.1428)
Hf (0.0000, 0.4281, 0.8572)
In (0.5000, 0.1433, 0.2864)
In (0.5000, 0.8567, 0.7136)
Zr (0.0000, 0.0000, 0.0000)
Zr (0.0000, 0.7136, 0.4277)
Zr (0.0000, 0.2864, 0.5723)

---

This record from Alexandria describes an optimized crystal structure of Ti3SnW. The functional is PBE-GGA.

Results
DFT formation energy = 699.2 meV per atom
size of the total moment = 1.7 μB/f.u.
crystal system = cubic

Unit cell a=4.7894 b=4.7894 c=4.7894 alpha=90.00 beta=90.00 gamma=90.00
Last column: magnetic moment on the atom in μB.
Element x y z (fractional)
W (0.0000, 0.0000, 0.0000)  -0.08
Ti (0.0000, 0.0000, 0.5000)  0.28
Ti (0.5000, 0.0000, 0.0000)  0.66
Ti (0.0000, 0.5000, 0.0000)  0.40
Sn (0.5000, 0.5000, 0.5000)  -0.04

---

Which of these has the lowest DFT formation energy?
Hf2Zr3In2

---

Which value of size of the total moment does entry 2 give?
1.7 μB/f.u.

---

DFT formation energy of number 2 (Ti3SnW)?
699.2 meV per atom